First-principles (PBE) data for Tc2P2Se after structural relaxation, as listed in Alexandria via LeMat-Bulk.

a = 3.5823 Å, b = 3.5823 Å, c = 12.2473 Å
α = 90.00°, β = 90.00°, γ = 90.00°
Closest atoms and distances in Å follow each position.
Fractional coordinates of all 10 atoms:
Tc  0.0000  0.0000  0.1255  4 P 2.35
Tc  0.0000  0.0000  0.8745  4 P 2.35
Tc  0.5000  0.5000  0.3745  4 P 2.35
Tc  0.5000  0.5000  0.6255  4 P 2.35
P  0.0000  0.5000  0.2500  4 Tc 2.35, 4 P 2.53
P  0.0000  0.5000  0.7500  4 Tc 2.35, 4 P 2.53
P  0.5000  0.0000  0.2500  4 Tc 2.35, 4 P 2.53
P  0.5000  0.0000  0.7500  4 Tc 2.35, 4 P 2.53
Se  0.0000  0.0000  0.5000  8 Tc 2.96
Se  0.5000  0.5000  0.0000  8 Tc 2.96

## Properties
Formation energy (no corrections): -107 meV/atom

First-principles (PBE) data for Tc2PSe after structural relaxation, as listed in Alexandria via LeMat-Bulk.

a = 5.5402 Å, b = 5.5402 Å, c = 10.2617 Å
α = 90.00°, β = 90.00°, γ = 90.00°
Closest atoms and distances in Å follow each position.
Fractional coordinates of all 16 atoms:
Tc  0.2301  0.2500  0.1250  2 P 2.28, 2 Se 2.41
Tc  0.2500  0.7301  0.3750  2 P 2.28, 2 Se 2.41
Tc  0.2500  0.7699  0.8750  2 P 2.28, 2 Se 2.41
Tc  0.2699  0.2500  0.6250  2 P 2.28, 2 Se 2.41
Tc  0.7301  0.7500  0.6250  2 P 2.28, 2 Se 2.41
Tc  0.7500  0.2301  0.8750  2 P 2.28, 2 Se 2.41
Tc  0.7500  0.2699  0.3750  2 P 2.28, 2 Se 2.41
Tc  0.7699  0.7500  0.1250  2 P 2.28, 2 Se 2.41
P  0.0000  0.0000  0.0000  4 Tc 2.28
P  0.0000  0.5000  0.2500  4 Tc 2.28
P  0.5000  0.0000  0.7500  4 Tc 2.28
P  0.5000  0.5000  0.5000  4 Tc 2.28
Se  0.0000  0.0000  0.5000  4 Tc 2.41
Se  0.0000  0.5000  0.7500  4 Tc 2.41
Se  0.5000  0.0000  0.2500  4 Tc 2.41
Se  0.5000  0.5000  0.0000  4 Tc 2.41

## Properties
Formation energy (no corrections): 112 meV/atom
Polymorph energy (0 for the lowest one): 1.394 eV/f.u.

First-principles (PBE) data for Tc2PSe after structural relaxation, as listed in Alexandria via LeMat-Bulk.

a = 2.9220 Å, b = 3.8895 Å, c = 5.3324 Å
α = 90.00°, β = 90.00°, γ = 90.00°
Closest atoms and distances in Å follow each position.
Fractional coordinates of all 4 atoms:
Tc  0.0000  0.0000  0.0000  1 P 2.30
Tc  0.5000  0.5000  0.3181  4 P 2.51, 2 Se 2.57-2.76
P  0.0000  0.0000  0.4315  5 Tc 2.30-2.51
Se  0.5000  0.5000  0.8363  6 Tc 2.57-2.76

## Properties
Formation energy (no corrections): -73 meV/atom
Polymorph energy (0 for the lowest one): 0.657 eV/f.u.

First-principles (PBE) data for TcPSe2 after structural relaxation, as listed in Alexandria via LeMat-Bulk.

a = 2.9507 Å, b = 2.9507 Å, c = 8.5371 Å
α = 90.00°, β = 90.00°, γ = 90.00°
Closest atoms and distances in Å follow each position.
Fractional coordinates of all 4 atoms:
Tc  0.0000  0.0000  0.0000  8 Se 2.63
P  0.0000  0.0000  0.5000  4 P 2.95
Se  0.5000  0.5000  0.1878  4 Tc 2.63
Se  0.5000  0.5000  0.8122  4 Tc 2.63

## Properties
Formation energy (no corrections): 342 meV/atom

First-principles (PBE) data for TcPSe after structural relaxation, as listed in Alexandria via LeMat-Bulk.

a = 5.9195 Å, b = 5.9195 Å, c = 5.9195 Å
α = 90.00°, β = 90.00°, γ = 90.00°
Closest atoms and distances in Å follow each position.
Fractional coordinates of all 12 atoms:
Tc  0.0000  0.0000  0.0000  4 P 2.56, 4 Se 2.56
Tc  0.0000  0.5000  0.5000  4 Se 2.56, 4 P 2.56
Tc  0.5000  0.0000  0.5000  4 Se 2.56, 4 P 2.56
Tc  0.5000  0.5000  0.0000  4 Se 2.56, 4 P 2.56
P  0.2500  0.2500  0.2500  4 Tc 2.56
P  0.2500  0.7500  0.7500  4 Tc 2.56
P  0.7500  0.2500  0.7500  4 Tc 2.56
P  0.7500  0.7500  0.2500  4 Tc 2.56
Se  0.2500  0.2500  0.7500  4 Tc 2.56
Se  0.2500  0.7500  0.2500  4 Tc 2.56
Se  0.7500  0.2500  0.2500  4 Tc 2.56
Se  0.7500  0.7500  0.7500  4 Tc 2.56

## Properties
Formation energy (no corrections): 39 meV/atom
Polymorph energy (0 for the lowest one): 0.709 eV/f.u.

First-principles (PBE) data for TcPSe2 after structural relaxation, as listed in Alexandria via LeMat-Bulk.

a = 3.0214 Å, b = 4.8772 Å, c = 9.7171 Å
α = 90.00°, β = 90.00°, γ = 90.00°
Closest atoms and distances in Å follow each position.
Fractional coordinates of all 8 atoms:
Tc  0.0000  0.0000  0.0000  4 Se 2.57, 4 Tc 2.87
Tc  0.5000  0.5000  0.0000  4 Se 2.57, 4 Tc 2.87
P  0.0000  0.0000  0.5000  6 P 2.87-3.02, 4 Se 3.17
P  0.5000  0.5000  0.5000  6 P 2.87-3.02, 4 Se 3.17
Se  0.0000  0.5000  0.2137  2 Tc 2.57, 4 Se 2.87
Se  0.0000  0.5000  0.7863  2 Tc 2.57, 4 Se 2.87
Se  0.5000  0.0000  0.2137  2 Tc 2.57, 4 Se 2.87
Se  0.5000  0.0000  0.7863  2 Tc 2.57, 4 Se 2.87

## Properties
Formation energy (no corrections): 587 meV/atom

First-principles (PBE) data for TcPSe2 after structural relaxation, as listed in Alexandria via LeMat-Bulk.

a = 3.1810 Å, b = 4.6892 Å, c = 10.2167 Å
α = 90.00°, β = 90.00°, γ = 90.00°
Closest atoms and distances in Å follow each position.
Fractional coordinates of all 8 atoms:
Tc  0.0000  0.0000  0.0000  2 P 2.34
Tc  0.5000  0.5000  0.0000  2 P 2.34
P  0.0000  0.5000  0.1676  2 Tc 2.34
P  0.5000  0.0000  0.1676  2 Tc 2.34
Se  0.0000  0.0000  0.4596  4 Se 2.83
Se  0.0000  0.5000  0.7873  2 Tc 2.69, 4 Se 2.83
Se  0.5000  0.0000  0.7873  2 Tc 2.69, 4 Se 2.83
Se  0.5000  0.5000  0.4596  4 Se 2.83

## Properties
Formation energy (no corrections): 311 meV/atom

First-principles (PBE) data for TcPSe2 after structural relaxation, as listed in Alexandria via LeMat-Bulk.

a = 3.0369 Å, b = 4.4625 Å, c = 11.6158 Å
α = 90.00°, β = 90.00°, γ = 90.00°
Closest atoms and distances in Å follow each position.
Fractional coordinates of all 8 atoms:
Tc  0.0000  0.0000  0.0000  2 P 2.44, 2 Se 2.53
Tc  0.5000  0.5000  0.5000  2 P 2.44, 2 Se 2.53
P  0.0000  0.5000  0.3358  2 Tc 2.44, 2 Se 2.64
P  0.5000  0.0000  0.8358  2 Tc 2.44, 2 Se 2.64
Se  0.0000  0.0000  0.4568  2 P 2.64, 4 Tc 2.75
Se  0.0000  0.5000  0.6747  2 Tc 2.53
Se  0.5000  0.0000  0.1747  2 Tc 2.53
Se  0.5000  0.5000  0.9568  2 P 2.64, 4 Tc 2.75

## Properties
Formation energy (no corrections): 192 meV/atom

First-principles (PBE) data for TcPSe2 after structural relaxation, as listed in Alexandria via LeMat-Bulk.

a = 6.2003 Å, b = 6.2003 Å, c = 9.4509 Å
α = 90.00°, β = 90.00°, γ = 90.00°
Closest atoms and distances in Å follow each position.
Fractional coordinates of all 16 atoms:
Tc  0.0000  0.0000  0.0000  4 Se 2.39
Tc  0.0000  0.5000  0.2500  4 Se 2.39
Tc  0.5000  0.0000  0.7500  4 Se 2.39
Tc  0.5000  0.5000  0.5000  4 Se 2.39
P  0.0000  0.0000  0.5000  4 Se 2.59
P  0.0000  0.5000  0.7500  4 Se 2.59
P  0.5000  0.0000  0.2500  4 Se 2.59
P  0.5000  0.5000  0.0000  4 Se 2.59
Se  0.2237  0.2500  0.1250  2 Tc 2.39, 2 P 2.59
Se  0.2500  0.7237  0.3750  2 Tc 2.39, 2 P 2.59
Se  0.2500  0.7763  0.8750  2 Tc 2.39, 2 P 2.59
Se  0.2763  0.2500  0.6250  2 Tc 2.39, 2 P 2.59
Se  0.7237  0.7500  0.6250  2 Tc 2.39, 2 P 2.59
Se  0.7500  0.2237  0.8750  2 Tc 2.39, 2 P 2.59
Se  0.7500  0.2763  0.3750  2 Tc 2.39, 2 P 2.59
Se  0.7763  0.7500  0.1250  2 Tc 2.39, 2 P 2.59

## Properties
Formation energy (no corrections): 463 meV/atom

First-principles (PBE) data for TcPSe2 after structural relaxation, as listed in Alexandria via LeMat-Bulk.

a = 4.2011 Å, b = 4.2011 Å, c = 7.3406 Å
α = 90.00°, β = 90.00°, γ = 90.00°
Closest atoms and distances in Å follow each position.
Fractional coordinates of all 8 atoms:
Tc  0.0000  0.0000  0.0000  8 Se 2.79-2.97, 4 P 2.79
Tc  0.5000  0.5000  0.5000  8 Se 2.79-2.97, 4 P 2.79
P  0.0000  0.5000  0.7500  8 Se 2.79-2.97, 4 Tc 2.79
P  0.5000  0.0000  0.2500  8 Se 2.79-2.97, 4 Tc 2.79
Se  0.0000  0.0000  0.5000  4 Se 2.79, 4 P 2.79, 4 Tc 2.97
Se  0.0000  0.5000  0.2500  4 Se 2.79, 4 Tc 2.79, 4 P 2.97
Se  0.5000  0.0000  0.7500  4 Se 2.79, 4 Tc 2.79, 4 P 2.97
Se  0.5000  0.5000  0.0000  4 Se 2.79, 4 P 2.79, 4 Tc 2.97

## Properties
Formation energy (no corrections): 585 meV/atom

First-principles (PBE) data for TcPSe2 after structural relaxation, as listed in Alexandria via LeMat-Bulk.

a = 4.5830 Å, b = 9.0860 Å, c = 3.8718 Å
α = 90.00°, β = 90.00°, γ = 90.00°
Closest atoms and distances in Å follow each position.
Fractional coordinates of all 8 atoms:
Tc  0.0000  0.0000  0.0000  2 P 2.29, 4 Se 2.55
Tc  0.5000  0.5000  0.0000  2 P 2.29, 4 Se 2.55
P  0.0000  0.5000  0.0000  2 Tc 2.29
P  0.5000  0.0000  0.0000  2 Tc 2.29
Se  0.0000  0.1819  0.5000  2 Tc 2.55, 2 Se 2.60
Se  0.0000  0.8181  0.5000  2 Tc 2.55, 2 Se 2.60
Se  0.5000  0.3181  0.5000  2 Tc 2.55, 2 Se 2.60
Se  0.5000  0.6819  0.5000  2 Tc 2.55, 2 Se 2.60

## Properties
Formation energy (no corrections): -15 meV/atom

First-principles (PBE) data for TcP4Se after structural relaxation, as listed in Alexandria via LeMat-Bulk.

a = 5.0752 Å, b = 5.0752 Å, c = 5.0752 Å
α = 60.00°, β = 60.00°, γ = 60.00°
Closest atoms and distances in Å follow each position.
Fractional coordinates of all 6 atoms:
Tc  0.0000  0.0000  0.0000  12 P 2.99, 4 Se 3.11
P  0.1414  0.6195  0.6195  6 P 2.43-2.65
P  0.6195  0.1414  0.6195  6 P 2.43-2.65
P  0.6195  0.6195  0.1414  6 P 2.43-2.65
P  0.6195  0.6195  0.6195  6 P 2.43-2.65
Se  0.2500  0.2500  0.2500  12 P 2.96, 4 Tc 3.11

## Properties
Formation energy (no corrections): 930 meV/atom

First-principles (PBE) data for Tc2PSe after structural relaxation, as listed in Alexandria via LeMat-Bulk.

a = 2.9911 Å, b = 4.8231 Å, c = 9.6926 Å
α = 90.00°, β = 90.00°, γ = 90.00°
Closest atoms and distances in Å follow each position.
Fractional coordinates of all 8 atoms:
Tc  0.0000  0.0000  0.0000  2 Se 2.51, 2 Tc 2.76
Tc  0.0000  0.5000  0.2389  2 P 2.34
Tc  0.5000  0.0000  0.2389  2 P 2.34
Tc  0.5000  0.5000  0.0000  2 Se 2.51, 2 Tc 2.76
P  0.0000  0.0000  0.4243  2 Tc 2.34
P  0.5000  0.5000  0.4243  2 Tc 2.34
Se  0.0000  0.5000  0.7924  2 Tc 2.51
Se  0.5000  0.0000  0.7924  2 Tc 2.51

## Properties
Formation energy (no corrections): 318 meV/atom
Polymorph energy (0 for the lowest one): 2.218 eV/f.u.

First-principles (PBE) data for TcPSe after structural relaxation, as listed in Alexandria via LeMat-Bulk.

a = 3.1219 Å, b = 4.7925 Å, c = 15.1208 Å
α = 90.00°, β = 90.00°, γ = 90.00°
Closest atoms and distances in Å follow each position.
Fractional coordinates of all 12 atoms:
Tc  0.0000  0.0000  0.0000  2 P 2.33
Tc  0.0000  0.5000  0.5000  2 P 2.33
Tc  0.5000  0.0000  0.5000  2 P 2.33
Tc  0.5000  0.5000  0.0000  2 P 2.33
P  0.0000  0.0000  0.3860  2 Tc 2.33
P  0.0000  0.5000  0.8860  2 Tc 2.33
P  0.5000  0.0000  0.8860  2 Tc 2.33
P  0.5000  0.5000  0.3860  2 Tc 2.33
Se  0.0000  0.0000  0.6464  2 Tc 2.71, 4 Se 2.86
Se  0.0000  0.5000  0.1464  2 Tc 2.71, 4 Se 2.86
Se  0.5000  0.0000  0.1464  2 Tc 2.71, 4 Se 2.86
Se  0.5000  0.5000  0.6464  2 Tc 2.71, 4 Se 2.86

## Properties
Formation energy (no corrections): 267 meV/atom
Polymorph energy (0 for the lowest one): 1.395 eV/f.u.

First-principles (PBE) data for TcPSe2 after structural relaxation, as listed in Alexandria via LeMat-Bulk.

a = 3.2938 Å, b = 3.6961 Å, c = 13.5833 Å
α = 90.00°, β = 90.00°, γ = 90.00°
Closest atoms and distances in Å follow each position.
Fractional coordinates of all 8 atoms:
Tc  0.0000  0.0000  0.0000  4 P 2.48, 4 Se 2.67
Tc  0.5000  0.5000  0.5000  4 P 2.48, 4 Se 2.67
P  0.0000  0.0000  0.5000  4 Tc 2.48, 4 Se 2.53
P  0.5000  0.5000  0.0000  4 Tc 2.48, 4 Se 2.53
Se  0.0000  0.5000  0.1414  2 P 2.53, 2 Tc 2.67
Se  0.0000  0.5000  0.8586  2 P 2.53, 2 Tc 2.67
Se  0.5000  0.0000  0.3586  2 P 2.53, 2 Tc 2.67
Se  0.5000  0.0000  0.6414  2 P 2.53, 2 Tc 2.67

## Properties
Formation energy (no corrections): 67 meV/atom

First-principles (PBE) data for TcPSe after structural relaxation, as listed in Alexandria via LeMat-Bulk.

a = 5.8850 Å, b = 5.8850 Å, c = 5.8850 Å
α = 90.00°, β = 90.00°, γ = 90.00°
Closest atoms and distances in Å follow each position.
Fractional coordinates of all 12 atoms:
Tc  0.0000  0.0000  0.0000  4 P 2.55
Tc  0.0000  0.5000  0.5000  4 P 2.55
Tc  0.5000  0.0000  0.5000  4 P 2.55
Tc  0.5000  0.5000  0.0000  4 P 2.55
P  0.2500  0.2500  0.2500  4 Se 2.55, 4 Tc 2.55
P  0.2500  0.7500  0.7500  4 Se 2.55, 4 Tc 2.55
P  0.7500  0.2500  0.7500  4 Se 2.55, 4 Tc 2.55
P  0.7500  0.7500  0.2500  4 Se 2.55, 4 Tc 2.55
Se  0.0000  0.0000  0.5000  4 P 2.55
Se  0.0000  0.5000  0.0000  4 P 2.55
Se  0.5000  0.0000  0.0000  4 P 2.55
Se  0.5000  0.5000  0.5000  4 P 2.55

## Properties
Formation energy (no corrections): 554 meV/atom
Polymorph energy (0 for the lowest one): 2.253 eV/f.u.

First-principles (PBE) data for Tc2PSe after structural relaxation, as listed in Alexandria via LeMat-Bulk.

a = 7.2055 Å, b = 3.0902 Å, c = 5.8578 Å
α = 90.00°, β = 103.94°, γ = 90.00°
Closest atoms and distances in Å follow each position.
Fractional coordinates of all 8 atoms:
Tc  0.2417  0.0000  0.1890  3 P 2.38-2.39
Tc  0.2583  0.5000  0.8110  3 P 2.38-2.39
Tc  0.7417  0.5000  0.1890  3 P 2.38-2.39
Tc  0.7583  0.0000  0.8110  3 P 2.38-2.39
P  0.0000  0.5000  0.0000  6 Tc 2.38-2.39
P  0.5000  0.0000  0.0000  6 Tc 2.38-2.39
Se  0.0000  0.0000  0.5000  6 Tc 2.75-2.81
Se  0.5000  0.5000  0.5000  6 Tc 2.75-2.81

## Properties
Formation energy (no corrections): -54 meV/atom
Polymorph energy (0 for the lowest one): 0.730 eV/f.u.

First-principles (PBE) data for TcPSe2 after structural relaxation, as listed in Alexandria via LeMat-Bulk.

a = 3.1864 Å, b = 3.1864 Å, c = 7.2691 Å
α = 90.00°, β = 90.00°, γ = 90.00°
Closest atoms and distances in Å follow each position.
Fractional coordinates of all 4 atoms:
Tc  0.0000  0.0000  0.0000  4 P 2.55, 5 Se 2.58-2.77
P  0.5000  0.5000  0.1642  4 Tc 2.55, 5 Se 2.64-2.81
Se  0.0000  0.0000  0.3547  1 Tc 2.58, 4 P 2.64
Se  0.5000  0.5000  0.7775  4 Tc 2.77, 1 P 2.81

## Properties
Formation energy (no corrections): 118 meV/atom

First-principles (PBE) data for Tc2PSe2 after structural relaxation, as listed in Alexandria via LeMat-Bulk.

a = 7.3897 Å, b = 7.3897 Å, c = 3.0119 Å
α = 90.00°, β = 90.00°, γ = 90.00°
Closest atoms and distances in Å follow each position.
Fractional coordinates of all 10 atoms:
Tc  0.1466  0.3534  0.0000  6 Se 2.61-2.67
Tc  0.3534  0.8534  0.0000  6 Se 2.61-2.67
Tc  0.6466  0.1466  0.0000  6 Se 2.61-2.67
Tc  0.8534  0.6466  0.0000  6 Se 2.61-2.67
P  0.0000  0.0000  0.5000  4 Se 2.84, 2 P 3.01
P  0.5000  0.5000  0.5000  4 Se 2.84, 2 P 3.01
Se  0.1424  0.6424  0.5000  6 Tc 2.61-2.67, 2 P 2.84
Se  0.3576  0.1424  0.5000  6 Tc 2.61-2.67, 2 P 2.84
Se  0.6424  0.8576  0.5000  6 Tc 2.61-2.67, 2 P 2.84
Se  0.8576  0.3576  0.5000  6 Tc 2.61-2.67, 2 P 2.84

## Properties
Formation energy (no corrections): 623 meV/atom
Polymorph energy (0 for the lowest one): 1.070 eV/f.u.

First-principles (PBE) data for TcPSe2 after structural relaxation, as listed in Alexandria via LeMat-Bulk.

a = 3.1425 Å, b = 3.1425 Å, c = 24.9957 Å
α = 90.00°, β = 90.00°, γ = 120.00°
Closest atoms and distances in Å follow each position.
Fractional coordinates of all 12 atoms:
Tc  0.0000  0.0000  0.0000  6 Se 2.55
Tc  0.3333  0.6667  0.6667  6 Se 2.55
Tc  0.6667  0.3333  0.3333  6 Se 2.55
P  0.0000  0.0000  0.5000  6 Se 2.99, 6 P 3.14
P  0.3333  0.6667  0.1667  6 Se 2.99, 6 P 3.14
P  0.6667  0.3333  0.8333  6 Se 2.99, 6 P 3.14
Se  0.0000  0.0000  0.2616  3 Tc 2.55
Se  0.0000  0.0000  0.7384  3 Tc 2.55
Se  0.3333  0.6667  0.4051  3 Tc 2.55
Se  0.3333  0.6667  0.9283  3 Tc 2.55
Se  0.6667  0.3333  0.0717  3 Tc 2.55
Se  0.6667  0.3333  0.5949  3 Tc 2.55

## Properties
Formation energy (no corrections): 251 meV/atom